Record 1
4
Lattice="-0.567 -1.773 -2.431 2.027 -3.597 2.151 -2.575 -3.421 3.096" Properties=species:S:1:pos:R:3 comment="CuW2Se (PBE, optimized geometry)" crystal_system=monoclinic dos_at_fermi_per_ev_cell=2.80 sg="No. 10" pbc="T T T"
Cu -0.558 -4.396 1.408
Se -1.288 -1.710 1.548
W 0.000 0.000 0.000
W 0.730 -2.685 -0.140

Record 2
4
Lattice="-4.218 -0.556 -1.468 -1.092 -0.922 3.486 -0.731 3.624 0.729" Properties=species:S:1:pos:R:3 comment="CuW2Se (PBE, optimized geometry)" crystal_system=tetragonal dos_at_fermi_per_ev_cell=3.19 sg="No. 123" pbc="T T T"
Cu -2.655 -0.739 1.009
Se -2.474 1.534 -0.370
W 0.000 0.000 0.000
W -0.912 1.351 2.108

Record 3
4
Lattice="5.012 0.018 -0.018 -2.083 4.559 -0.018 0.505 0.789 2.703" Properties=species:S:1:pos:R:3 comment="CuW2Se (PBE, optimized geometry)" crystal_system=monoclinic dos_at_fermi_per_ev_cell=2.33 sg="No. 12" pbc="T T T"
Cu 2.759 0.404 1.342
Se -0.789 2.674 1.342
W 0.000 0.000 0.000
W 1.465 2.289 -0.018

Record 4
4
Lattice="-2.582 3.199 2.252 -4.444 1.386 0.547 -0.945 -2.531 3.723" Properties=species:S:1:pos:R:3 comment="CuW2Se (PBE, optimized geometry)" crystal_system=monoclinic dos_at_fermi_per_ev_cell=2.68 sg="No. 12" pbc="T T T"
Cu -1.993 0.513 1.630
Se -5.978 1.540 4.891
W -6.997 4.517 2.840
W -4.013 1.094 3.220

Record 5
4
Lattice="4.236 0.000 0.000 0.000 2.877 -0.002 0.000 0.955 5.113" Properties=species:S:1:pos:R:3 comment="CuW2Se (PBE, optimized geometry)" crystal_system=monoclinic dos_at_fermi_per_ev_cell=3.51 sg="No. 10" pbc="T T T"
Cu 2.118 0.958 1.278
Se 2.118 2.874 3.833
W 0.000 2.780 0.038
W 0.000 2.012 2.516

Record 6
4
Lattice="4.861 -0.003 0.004 3.967 2.809 0.004 1.233 0.392 4.433" Properties=species:S:1:pos:R:3 comment="CuW2Se (PBE, optimized geometry)" crystal_system=monoclinic dos_at_fermi_per_ev_cell=2.75 sg="No. 8" pbc="T T T"
Cu 4.934 1.568 2.009
Se 7.612 2.419 3.472
W 1.304 0.414 4.243
W 2.473 0.786 1.369

Record 7
5
Lattice="4.581 0.000 0.000 0.000 4.581 0.000 0.000 0.000 4.581" Properties=species:S:1:pos:R:3 comment="CuW3Se (PBE, optimized geometry)" crystal_system=cubic polymorph_energy_ev_per_atom=0.000 dos_at_fermi_per_ev_cell=5.67 sg="No. 221" pbc="T T T"
Cu 2.291 2.291 2.291
Se 0.000 0.000 0.000
W 0.000 2.291 0.000
W 0.000 0.000 2.291
W 2.291 0.000 0.000

Record 8
7
Lattice="7.125 0.128 0.000 2.603 6.634 0.000 -4.864 -3.381 3.961" Properties=species:S:1:pos:R:3 comment="Cu2WSe4 (PBE, optimized geometry)" crystal_system=tetragonal polymorph_energy_ev_per_atom=0.000 sg="No. 121" pbc="T T T"
Cu -1.131 1.626 1.981
Cu 1.131 -1.626 1.981
W 0.000 0.000 0.000
Se 7.206 2.512 0.000
Se 4.865 5.879 0.000
Se 3.692 2.567 2.050
Se -1.171 -0.814 1.911

Record 9
4
Lattice="-3.806 2.230 -0.704 -3.757 -1.293 2.043 -1.752 2.511 3.253" Properties=species:S:1:pos:R:3 comment="CuW2Se (PBE, optimized geometry)" crystal_system=cubic dos_at_fermi_per_ev_cell=3.63 sg="No. 216" pbc="T T T"
Cu -4.657 1.724 2.296
Se -6.986 2.587 3.444
W 0.000 0.000 0.000
W -2.329 0.862 1.148

Record 10
4
Lattice="-3.236 -2.366 -3.388 0.644 -5.156 -0.744 -1.026 3.772 3.503" Properties=species:S:1:pos:R:3 comment="CuW2Se (PBE, optimized geometry)" crystal_system=orthorhombic dos_at_fermi_per_ev_cell=3.27 sg="No. 71" pbc="T T T"
Cu -2.779 -1.178 -0.975
Se -0.839 -2.573 0.347
W -0.038 -0.110 -0.060
W -1.258 -3.652 -2.005

Record 11
6
Lattice="2.677 -4.201 2.449 -2.576 -4.855 0.777 1.499 -4.444 -2.970" Properties=species:S:1:pos:R:3 comment="CuWSe4 (PBE, optimized geometry)" crystal_system=cubic dos_at_fermi_per_ev_cell=4.91 sg="No. 216" pbc="T T T"
Cu 0.000 0.000 0.000
W 1.200 -10.125 0.192
Se 1.939 -7.164 1.322
Se 1.350 -7.285 -1.390
Se -0.690 -7.491 0.485
Se 0.600 -5.061 0.096

Record 12
4
Lattice="4.517 0.000 0.000 0.000 2.950 0.005 0.000 -0.247 4.735" Properties=species:S:1:pos:R:3 comment="CuW2Se (PBE, optimized geometry)" crystal_system=monoclinic dos_at_fermi_per_ev_cell=2.42 sg="No. 6" pbc="T T T"
Cu 0.000 1.117 2.514
Se 2.259 2.349 3.295
W 0.000 2.708 0.127
W 2.259 0.830 1.181

Record 13
4
Lattice="2.743 0.027 0.000 -0.927 2.581 0.000 0.000 0.000 8.883" Properties=species:S:1:pos:R:3 comment="CuW2Se (PBE, optimized geometry)" crystal_system=orthorhombic dos_at_fermi_per_ev_cell=2.59 sg="No. 65" pbc="T T T"
Cu 0.908 1.304 2.221
Se 0.908 1.304 6.663
W 0.000 0.000 0.088
W 0.000 0.000 4.354

Which formation energy (no corrections) belongs to each record? In order, 0.58 0.81 0.68 0.51 0.66 0.52 1.82 -0.34 0.73 0.61 1.36 0.54 0.79 eV/atom.